# 1
KRb3Zn: relaxed, GGA-PBE.

Calculated values
Calculated total energy   -0.664 eV per atom
Energy of formation from the pure elements   0.39 eV per atom
Energy above the most stable polymorph in this dataset   279 meV per atom
DOS(E_F)   4.426 states/eV/f.u.
Calculated volume   549.7 Å³/cell

Cell lengths 8.1919, 8.1919, 8.1919 Å; angles 90.00, 90.00, 90.00 degrees
Fractional positions:
Zn  0.5000  0.5000  0.5000
K  0.0000  0.0000  0.0000
Rb  0.0000  0.5000  0.0000
Rb  0.0000  0.0000  0.5000
Rb  0.5000  0.0000  0.0000



# 2
Li2ZnSeO4: relaxed, GGA-PBE.

Calculated values
Calculated total energy   -4.835 eV per atom
Formation energy from raw total energies   -123.7 kJ/mol of atoms
DOS(E_F)   0.000 states/eV/f.u.
Calculated volume   98.0 Å³/cell

Cell lengths 5.6200, 5.6200, 5.6200 Å; angles 71.33, 131.31, 131.31 degrees
Fractional positions:
Li  0.5000  0.7500  0.2500
Li  0.0000  0.0000  0.0000
Zn  0.5000  0.2500  0.7500
Se  0.0000  0.5000  0.5000
O  0.5142  0.3781  0.3818
O  0.0037  0.1361  0.6219
O  0.9963  0.6182  0.1324
O  0.4858  0.8676  0.8639



# 3
NaAcPr2Te4: relaxed, GGA-PBE.

Calculated values
Calculated total energy   -4.859 eV per atom
Formation energy from raw total energies   -136.5 kJ/mol of atoms
DOS(E_F)   3.056 states/eV/f.u.
Calculated volume   276.4 Å³/cell

Cell lengths 4.5701, 7.8912, 8.1037 Å; angles 108.95, 90.00, 90.00 degrees
Fractional positions:
Na  0.5000  0.5000  0.0000
Ac  0.0000  0.0000  0.0000
Pr  0.5000  0.0000  0.5000
Pr  0.0000  0.5000  0.5000
Te  0.5000  0.2587  0.2566
Te  0.5000  0.7413  0.7434
Te  0.0000  0.2524  0.7448
Te  0.0000  0.7476  0.2552



# 4
La12Nd5Dy2: relaxed, GGA-PBE.

Calculated values
Calculated total energy   -4.771 eV per atom
Energy of formation from the pure elements   0.08 eV per atom
Energy above the most stable polymorph in this dataset   0 meV per atom
DOS(E_F)   29.429 states/eV/f.u.
Calculated volume   683.9 Å³/cell

Cell lengths 6.4583, 12.7790, 9.6910 Å; angles 72.59, 94.74, 66.97 degrees
Fractional positions:
La  0.1094  0.8624  0.9479
La  0.2116  0.5466  0.0601
La  0.2068  0.0308  0.5929
La  0.6594  0.6331  0.1707
La  0.6470  0.1113  0.6630
La  0.2351  0.4054  0.4492
La  0.7649  0.5946  0.5508
La  0.3406  0.3669  0.8293
La  0.3530  0.8887  0.3370
La  0.7884  0.4534  0.9399
La  0.7932  0.9692  0.4071
La  0.8906  0.1376  0.0521
Nd  0.2963  0.2222  0.2146
Nd  0.7509  0.3081  0.3119
Nd  0.5000  0.0000  0.0000
Nd  0.2491  0.6919  0.6881
Nd  0.7037  0.7778  0.7854
Dy  0.9229  0.2849  0.6923
Dy  0.0771  0.7151  0.3077



# 5
HgIr2OsPd: relaxed, GGA-PBE.

Calculated values
Calculated total energy   -4.505 eV per atom
Energy of formation from the pure elements   2.38 eV per atom
DOS(E_F)   7.126 states/eV/f.u.
Calculated volume   110.4 Å³/cell

Cell lengths 4.7649, 4.8630, 4.7649 Å; angles 90.00, 90.00, 90.00 degrees
Site moments in Bohr magnetons follow the coordinates.
Fractional positions:
Ir  0.0000  0.0000  0.5000  1.12
Ir  0.5000  0.0000  0.0000  0.83
Os  0.5000  0.5000  0.5000  2.45
Hg  0.0000  0.5000  0.0000  0.00
Pd  0.0000  0.0000  0.0000  0.42



# 6
ScSbPd2Rh: relaxed, GGA-PBE.

Calculated values
Calculated total energy   -4.912 eV per atom
Formation energy from raw total energies   70.1 kJ/mol of atoms
DOS(E_F)   5.540 states/eV/f.u.
Calculated volume   114.2 Å³/cell

Cell lengths 4.6287, 5.3315, 4.6287 Å; angles 90.00, 90.00, 90.00 degrees
Fractional positions:
Sc  0.0000  0.0000  0.0000
Sb  0.0000  0.5000  0.0000
Rh  0.5000  0.5000  0.5000
Pd  0.0000  0.0000  0.5000
Pd  0.5000  0.0000  0.0000



# 7
AcGdYMg: relaxed, GGA-PBE.

Calculated values
Calculated total energy   -6.445 eV per atom
Energy of formation from the pure elements   0.12 eV per atom
DOS(E_F)   6.475 states/eV/f.u.
Calculated volume   132.2 Å³/cell

Cell lengths 5.7186, 5.7186, 5.7186 Å; angles 60.00, 60.00, 60.00 degrees
Site moments in Bohr magnetons follow the coordinates.
Fractional positions:
Y  0.7500  0.7500  0.7500  0.11
Ac  0.5000  0.5000  0.5000  0.12
Gd  0.2500  0.2500  0.2500  7.27
Mg  0.0000  0.0000  0.0000  0.00



# 8
Ba20Ru11PtO48: relaxed, GGA-PBE.

Calculated values
Calculated total energy   -6.722 eV per atom
Formation energy from raw total energies   -184.8 kJ/mol of atoms
DOS(E_F)   22.348 states/eV/f.u.
Calculated volume   1324.4 Å³/cell

Cell lengths 5.9787, 11.0198, 20.1021 Å; angles 89.77, 90.00, 90.00 degrees
Site moments in Bohr magnetons follow the coordinates.
Fractional positions:
Ba  0.0000  0.8859  0.9693  0.01
Ba  0.0000  0.3880  0.5301  0.01
Ba  0.5000  0.1134  0.0272  0.01
Ba  0.5000  0.6124  0.4716  0.01
Ba  0.0000  0.7006  0.7546  0.02
Ba  0.0000  0.1980  0.7415  0.02
Ba  0.5000  0.2987  0.2461  0.02
Ba  0.5000  0.7981  0.2569  0.02
Ba  0.0000  0.0465  0.1768  0.02
Ba  0.0000  0.5476  0.3278  0.02
Ba  0.5000  0.9548  0.8211  0.02
Ba  0.5000  0.4555  0.6753  0.02
Ba  0.0000  0.6841  0.1315  0.01
Ba  0.0000  0.1843  0.3722  0.01
Ba  0.5000  0.3167  0.8670  0.01
Ba  0.5000  0.8158  0.6297  0.01
Ba  0.0000  0.5228  0.9226  0.01
Ba  0.0000  0.0250  0.5728  0.01
Ba  0.5000  0.4717  0.0747  0.01
Ba  0.5000  0.9732  0.4262  0.01
Ru  0.0000  0.3806  0.1803  1.83
Ru  0.0000  0.8747  0.3277  1.25
Ru  0.5000  0.6265  0.8275  1.34
Ru  0.5000  0.1251  0.6716  1.25
Ru  0.0000  0.1924  0.9258  1.83
Ru  0.0000  0.6960  0.5691  1.72
Ru  0.5000  0.8046  0.0701  1.68
Ru  0.5000  0.3041  0.4317  1.73
Ru  0.0000  0.7849  0.4424  0.66
Ru  0.5000  0.7156  0.9424  -0.88
Ru  0.5000  0.2156  0.5578  0.68
Pt  0.0000  0.2833  0.0544  0.08
O  0.2268  0.3065  0.9794  0.03
O  0.7730  0.8089  0.5160  0.08
O  0.7238  0.6928  0.0163  -0.01
O  0.2726  0.1911  0.4847  0.08
O  0.2762  0.6928  0.0163  -0.01
O  0.7274  0.1911  0.4847  0.08
O  0.7732  0.3065  0.9794  0.03
O  0.2270  0.8089  0.5160  0.08
O  0.0000  0.1088  0.0203  0.05
O  0.0000  0.6113  0.4752  0.10
O  0.5000  0.8873  0.9761  0.01
O  0.5000  0.3891  0.5256  0.10
O  0.2312  0.2626  0.1301  0.03
O  0.7611  0.7570  0.3712  0.08
O  0.7372  0.7445  0.8709  -0.01
O  0.2621  0.2444  0.6291  0.08
O  0.2628  0.7445  0.8709  -0.01
O  0.7379  0.2444  0.6291  0.08
O  0.7688  0.2626  0.1301  0.03
O  0.2389  0.7570  0.3712  0.08
O  0.0000  0.3081  0.8556  0.20
O  0.0000  0.8096  0.6404  0.19
O  0.5000  0.6896  0.1407  0.19
O  0.5000  0.1904  0.3604  0.19
O  0.7650  0.0933  0.8941  0.22
O  0.2344  0.5962  0.6031  0.21
O  0.2657  0.9033  0.1032  0.21
O  0.7346  0.4038  0.3985  0.22
O  0.7343  0.9033  0.1032  0.21
O  0.2654  0.4038  0.3985  0.22
O  0.2350  0.0933  0.8941  0.22
O  0.7656  0.5962  0.6031  0.21
O  0.0000  0.4592  0.0852  0.05
O  0.0000  0.9623  0.4197  0.09
O  0.5000  0.5385  0.9199  -0.02
O  0.5000  0.0378  0.5798  0.09
O  0.0000  0.2731  0.2548  0.18
O  0.0000  0.7766  0.2485  0.13
O  0.5000  0.7245  0.7482  0.14
O  0.5000  0.2220  0.7511  0.13
O  0.7684  0.4837  0.2114  0.23
O  0.2287  0.9795  0.2938  0.16
O  0.2717  0.5210  0.7948  0.17
O  0.7282  0.0189  0.7047  0.16
O  0.7283  0.5210  0.7948  0.17
O  0.2718  0.0189  0.7047  0.16
O  0.2316  0.4837  0.2114  0.23
O  0.7713  0.9795  0.2938  0.16



# 9
Ca2SnMo: relaxed, GGA-PBE.

Calculated values
Calculated total energy   -4.080 eV per atom
Energy of formation from the pure elements   0.63 eV per atom
DOS(E_F)   2.007 states/eV/f.u.
Calculated volume   204.9 Å³/cell

Cell lengths 8.3801, 8.3801, 6.6052 Å; angles 50.63, 50.63, 90.00 degrees
Fractional positions:
Mo  0.5000  0.5000  0.0000
Mo  0.2500  0.7500  0.5000
Ca  0.6081  0.1250  0.2500
Ca  0.1419  0.6250  0.2500
Ca  0.3750  0.3919  0.7500
Ca  0.8750  0.8581  0.7500
Sn  0.0000  0.0000  0.0000
Sn  0.7500  0.2500  0.5000



# 10
AcMgMnC: relaxed, GGA-PBE.

Calculated values
Calculated total energy   -5.895 eV per atom
Energy of formation from the pure elements   0.13 eV per atom
DOS(E_F)   3.221 states/eV/f.u.
Calculated volume   161.1 Å³/cell

Cell lengths 3.7259, 3.7259, 11.6016 Å; angles 90.00, 90.00, 90.00 degrees
Site moments in Bohr magnetons follow the coordinates.
Fractional positions:
Ac  0.7500  0.7500  0.2164  0.06
Ac  0.2500  0.2500  0.7836  0.06
Mg  0.2500  0.7500  0.5000  0.00
Mg  0.7500  0.2500  0.5000  0.00
Mn  0.7500  0.2500  0.0000  1.05
Mn  0.2500  0.7500  0.0000  1.05
C  0.7500  0.7500  0.9359  -0.05
C  0.2500  0.2500  0.0641  -0.05



# 11
CrBr2Cl: relaxed, GGA-PBE.

Calculated values
Calculated total energy   -4.114 eV per atom
Formation energy from raw total energies   -39.6 kJ/mol of atoms
Energy above the most stable polymorph in this dataset   360 meV per atom
DOS(E_F)   5.210 states/eV/f.u.
Calculated volume   101.4 Å³/cell

Cell lengths 9.1864, 9.1864, 9.1864 Å; angles 22.71, 22.71, 22.71 degrees
Site moments in Bohr magnetons follow the coordinates.
Fractional positions:
Cr  0.7523  0.7523  0.7523  3.44
Br  0.0283  0.0283  0.0283  -0.05
Br  0.2512  0.2512  0.2512  -0.19
Cl  0.4683  0.4683  0.4683  -0.02



# 12
BaHgRu2: relaxed, GGA-PBE.

Calculated values
Calculated total energy   -4.265 eV per atom
Energy of formation from the pure elements   0.93 eV per atom
DOS(E_F)   5.179 states/eV/f.u.
Calculated volume   84.4 Å³/cell

Cell lengths 5.7779, 5.7779, 3.1288 Å; angles 75.53, 75.53, 114.43 degrees
Site moments in Bohr magnetons follow the coordinates.
Fractional positions:
Ba  0.5000  0.0000  0.5000  -0.03
Hg  0.0000  0.5000  0.5000  -0.01
Ru  0.0000  0.0000  0.0000  0.76
Ru  0.5000  0.5000  0.0000  0.76



# 13
CaCrPt2: relaxed, GGA-PBE.

Calculated values
Calculated total energy   -6.071 eV per atom
Energy of formation from the pure elements   -0.14 eV per atom
Energy above the most stable polymorph in this dataset   271 meV per atom
DOS(E_F)   2.005 states/eV/f.u.
Calculated volume   72.3 Å³/cell

Cell lengths 4.6762, 4.6762, 4.6762 Å; angles 60.00, 60.00, 60.00 degrees
Site moments in Bohr magnetons follow the coordinates.
Fractional positions:
Cr  0.7500  0.7500  0.7500  3.73
Ca  0.5000  0.5000  0.5000  0.07
Pt  0.0000  0.0000  0.0000  0.06
Pt  0.2500  0.2500  0.2500  0.02



# 14
ZrRhSe2: relaxed, GGA-PBE.

Calculated values
Calculated total energy   -6.133 eV per atom
Formation energy from raw total energies   -40.2 kJ/mol of atoms
Energy above the most stable polymorph in this dataset   447 meV per atom
DOS(E_F)   2.780 states/eV/f.u.
Calculated volume   78.4 Å³/cell

Cell lengths 5.1021, 5.1021, 4.3091 Å; angles 69.85, 69.85, 114.70 degrees
Fractional positions:
Rh  0.0000  0.5000  0.5000
Se  0.0000  0.0000  0.0000
Se  0.5000  0.5000  0.0000
Zr  0.5000  0.0000  0.5000



# 15
Sn2OsAu: relaxed, GGA-PBE.

Calculated values
Calculated total energy   -5.157 eV per atom
Energy of formation from the pure elements   0.47 eV per atom
Energy above the most stable polymorph in this dataset   0 meV per atom
DOS(E_F)   3.424 states/eV/f.u.
Calculated volume   77.6 Å³/cell

Cell lengths 4.7869, 4.7869, 4.7869 Å; angles 60.00, 60.00, 60.00 degrees
Fractional positions:
Os  0.0000  0.0000  0.0000
Au  0.5000  0.5000  0.5000
Sn  0.2500  0.2500  0.2500
Sn  0.7500  0.7500  0.7500



# 16
BSe2O: relaxed, GGA-PBE.

Calculated values
Calculated total energy   -3.552 eV per atom
Formation energy from raw total energies   106.1 kJ/mol of atoms
Energy above the most stable polymorph in this dataset   659 meV per atom
DOS(E_F)   1.689 states/eV/f.u.
Calculated volume   49.0 Å³/cell

Cell lengths 4.1087, 4.1087, 4.1087 Å; angles 60.00, 60.00, 60.00 degrees
Fractional positions:
B  0.0000  0.0000  0.0000
O  0.5000  0.5000  0.5000
Se  0.2500  0.2500  0.2500
Se  0.7500  0.7500  0.7500



# 17
HoGa2PdPt2: relaxed, GGA-PBE.

Calculated values
Calculated total energy   -5.594 eV per atom
Energy of formation from the pure elements   -0.94 eV per atom
DOS(E_F)   2.750 states/eV/f.u.
Calculated volume   105.8 Å³/cell

Cell lengths 4.3742, 4.3742, 6.3832 Å; angles 90.00, 90.00, 120.00 degrees
Fractional positions:
Ho  0.0000  0.0000  0.0000
Ga  0.6667  0.3333  0.6902
Ga  0.3333  0.6667  0.3098
Pd  0.0000  0.0000  0.5000
Pt  0.6667  0.3333  0.2714
Pt  0.3333  0.6667  0.7286



# 18
Hg2Pb5Au2: relaxed, GGA-PBE.

Calculated values
Calculated total energy   -2.900 eV per atom
Energy of formation from the pure elements   -0.04 eV per atom
Energy above the most stable polymorph in this dataset   0 meV per atom
DOS(E_F)   3.240 states/eV/f.u.
Calculated volume   508.7 Å³/cell

Cell lengths 8.0451, 8.0347, 8.8352 Å; angles 117.05, 90.00, 90.00 degrees
Fractional positions:
Hg  0.0000  0.2114  0.4229
Hg  0.5000  0.7114  0.4229
Hg  0.0000  0.7886  0.5771
Hg  0.5000  0.2886  0.5771
Pb  0.0000  0.0000  0.0000
Pb  0.5000  0.5000  0.0000
Pb  0.8325  0.7933  0.2497
Pb  0.1675  0.4564  0.2497
Pb  0.3325  0.9564  0.2497
Pb  0.6675  0.2933  0.2497
Pb  0.1675  0.2067  0.7503
Pb  0.8325  0.5436  0.7503
Pb  0.6675  0.0436  0.7503
Pb  0.3325  0.7067  0.7503
Au  0.6294  0.8708  0.0000
Au  0.3706  0.1292  0.0000
Au  0.1294  0.6292  0.0000
Au  0.8706  0.3708  0.0000



# 19
Ba3Sn3Rh2: relaxed, GGA-PBE.

Calculated values
Calculated total energy   -4.626 eV per atom
Energy of formation from the pure elements   -0.57 eV per atom
DOS(E_F)   6.714 states/eV/f.u.
Calculated volume   489.2 Å³/cell

Cell lengths 4.6803, 6.6220, 16.8745 Å; angles 90.00, 90.00, 110.69 degrees
Fractional positions:
Ba  0.9453  0.8905  0.3934
Ba  0.0547  0.1095  0.8934
Ba  0.9453  0.8905  0.1066
Ba  0.0547  0.1095  0.6066
Ba  0.6462  0.2924  0.2500
Ba  0.3538  0.7076  0.7500
Sn  0.6717  0.3435  0.4622
Sn  0.3283  0.6565  0.9622
Sn  0.6717  0.3435  0.0378
Sn  0.3283  0.6565  0.5378
Sn  0.3461  0.6922  0.2500
Sn  0.6539  0.3078  0.7500
Rh  0.7670  0.5340  0.8919
Rh  0.2330  0.4660  0.3919
Rh  0.7670  0.5340  0.6081
Rh  0.2330  0.4660  0.1081



# 20
GeIrSeO2: relaxed, GGA-PBE.

Calculated values
Calculated total energy   -5.534 eV per atom
Formation energy from raw total energies   -15.3 kJ/mol of atoms
DOS(E_F)   4.671 states/eV/f.u.
Calculated volume   83.0 Å³/cell

Cell lengths 3.8526, 5.5944, 3.8526 Å; angles 90.00, 90.00, 90.00 degrees
Fractional positions:
Ge  0.5000  0.5000  0.5000
Ir  0.0000  0.0000  0.0000
O  0.0000  0.0000  0.5000
O  0.5000  0.0000  0.0000
Se  0.0000  0.5000  0.0000



| no. | magnetization (μB per cell) |
| --- | --- |
| 1 | 0.00 |
| 2 | 0.00 |
| 3 | 0.00 |
| 4 | 0.00 |
| 5 | 5.05 |
| 6 | 0.00 |
| 7 | 8.07 |
| 8 | 21.58 |
| 9 | 0.00 |
| 10 | 2.43 |
| 11 | 3.44 |
| 12 | 1.52 |
| 13 | 4.39 |
| 14 | 0.00 |
| 15 | 0.00 |
| 16 | 0.00 |
| 17 | 0.00 |
| 18 | 0.00 |
| 19 | 0.00 |
| 20 | 0.04 |